# 1
A relaxed Ba2NpTcN5 crystal. Source: Alexandria, functional PBE-GGA.

Unit cell a=7.941 b=7.941 c=11.514 alpha=90.00 beta=90.00 gamma=153.87
Sites, in units of the cell vectors:
Ba1 0.113 0.887 0.500
Ba2 0.142 0.858 0.153
Ba3 0.858 0.142 0.653
Ba4 0.887 0.113 0.000
Np1 0.199 0.801 0.855
Np2 0.801 0.199 0.355
Tc1 0.451 0.549 0.273
Tc2 0.549 0.451 0.773
N1 0.049 0.951 0.844
N2 0.293 0.707 0.467
N3 0.323 0.677 0.236
N4 0.326 0.674 0.834
N5 0.499 0.501 0.137
N6 0.501 0.499 0.637
N7 0.674 0.326 0.334
N8 0.677 0.323 0.736
N9 0.707 0.293 0.967
N10 0.951 0.049 0.344

ρ	7.06	g cm⁻³
D(E_F)	6.2	states/eV/cell
ΔE_f (raw)	-0.672	eV per atom



# 2
A relaxed Ba2NpTc2N6 crystal. Source: Alexandria, functional PBE-GGA.

Unit cell a=6.831 b=6.831 c=6.831 alpha=53.65 beta=53.65 gamma=53.65
Sites, in units of the cell vectors:
Ba1 0.224 0.224 0.224
Ba2 0.776 0.776 0.776
Np1 0.000 0.000 0.000
Tc1 0.433 0.433 0.433
Tc2 0.567 0.567 0.567
N1 0.239 0.239 0.746
N2 0.239 0.746 0.239
N3 0.254 0.761 0.761
N4 0.746 0.239 0.239
N5 0.761 0.254 0.761
N6 0.761 0.761 0.254

ρ	6.85	g cm⁻³
D(E_F)	5.1	states/eV/cell
ΔE_f (raw)	-0.636	eV per atom



# 3
A relaxed BaTh2NpN5 crystal. Source: Alexandria, functional PBE-GGA.

Unit cell a=7.143 b=7.143 c=7.143 alpha=146.18 beta=127.94 gamma=63.53
Sites, in units of the cell vectors:
Ba1 0.000 0.000 0.000
Th1 0.281 0.781 0.500
Th2 0.719 0.219 0.500
Np1 0.500 0.500 0.000
N1 0.125 0.354 0.771
N2 0.417 0.646 0.771
N3 0.500 0.000 0.500
N4 0.583 0.354 0.229
N5 0.875 0.646 0.229

ρ	9.53	g cm⁻³
D(E_F)	4.5	states/eV/cell
ΔE_f (raw)	-1.290	eV per atom



# 4
A relaxed Ba3Th2NpN6 crystal. Source: Alexandria, functional PBE-GGA.

Unit cell a=6.395 b=6.395 c=6.793 alpha=99.04 beta=99.04 gamma=119.92
Sites, in units of the cell vectors:
Ba1 0.000 0.000 0.000
Ba2 0.333 0.667 0.000
Ba3 0.667 0.333 0.000
Th1 0.166 0.834 0.500
Th2 0.834 0.166 0.500
Np1 0.500 0.500 0.500
N1 0.138 0.441 0.326
N2 0.253 0.253 0.678
N3 0.441 0.138 0.326
N4 0.559 0.862 0.674
N5 0.747 0.747 0.322
N6 0.862 0.559 0.674

ρ	8.69	g cm⁻³
D(E_F)	4.8	states/eV/cell
ΔE_f (raw)	-1.095	eV per atom



> What is the formula in the second record?

Ba2NpTc2N6



> What is the ρ in the second record?

6.85 g cm⁻³